Entry 1:
Crystalline CuSe2Br at its relaxed geometry, computed with PBE.

Lattice parameters (Å, degrees): 3.6898 3.6898 7.9971 90.00 90.00 90.00
Fractional positions:
Cu1 0.0000 0.0000 0.0000
Se1 0.0000 0.5000 0.5000
Se2 0.5000 0.0000 0.5000
Br1 0.5000 0.5000 0.0000

Computed properties:
ρ, Mg/m³: 4.60
Total energy, eV per atom: -3.074
Energy relative to the elements, uncorrected, eV per atom: 0.1103

Entry 2:
Crystalline CuSe2Br at its relaxed geometry, computed with PBE.

Lattice parameters (Å, degrees): 4.7986 4.7986 4.7986 108.21 108.21 112.03
Fractional positions:
Cu1 0.0000 0.0000 0.0000
Se1 0.0000 0.5000 0.5000
Se2 0.5000 0.0000 0.5000
Br1 0.5000 0.5000 0.0000

Computed properties:
ρ, Mg/m³: 5.89
Total energy, eV per atom: -2.970
Energy relative to the elements, uncorrected, eV per atom: 0.2150

Entry 3:
Crystalline CuSe2Br6 at its relaxed geometry, computed with PBE.

Lattice parameters (Å, degrees): 10.7529 10.7529 6.9534 96.89 96.89 92.70
Fractional positions:
Cu1 0.0008 0.9992 0.7500
Cu2 0.9992 0.0008 0.2500
Se1 0.2850 0.5507 0.6119
Se2 0.4493 0.7150 0.8881
Se3 0.5507 0.2850 0.1119
Se4 0.7150 0.4493 0.3881
Br1 0.1142 0.1161 0.0427
Br2 0.1147 0.6747 0.5480
Br3 0.1161 0.1142 0.5427
Br4 0.2957 0.4316 0.2960
Br5 0.3253 0.8853 0.9520
Br6 0.4316 0.2957 0.7960
Br7 0.5684 0.7043 0.2040
Br8 0.6747 0.1147 0.0480
Br9 0.7043 0.5684 0.7040
Br10 0.8839 0.8858 0.4573
Br11 0.8853 0.3253 0.4520
Br12 0.8858 0.8839 0.9573

Computed properties:
ρ, Mg/m³: 2.94
Total energy, eV per atom: -2.448
Energy relative to the elements, uncorrected, eV per atom: -0.1036